[1]
The following is a GGA-PBE calculation of a relaxed structure of Cs2Cd3Ag2, from Alexandria.

## Properties
M_tot in μB per atom: 0.00
ρ in g/cm³: 5.632
D(E_F) in states/eV/cell: 3.30
Energy relative to the elements in meV per atom: -56
Symmetry: No. 12

a b c (Å): 4.9109 7.2724 7.8104
angles (deg): 70.84 71.68 70.27
With the nearest neighbours (Å) after each atom.
Fractional coordinates of all 7 atoms:
Ag 0.1107 0.9758 0.8029  5 Cd 2.88-2.96, 1 Ag 3.02
Ag 0.8893 0.0242 0.1971  5 Cd 2.88-2.96, 1 Ag 3.02
Cs 0.1390 0.4855 0.2366  2 Ag 3.63-4.03, 3 Cd 3.82-4.05, 1 Cs 3.96
Cs 0.8610 0.5145 0.7634  2 Ag 3.63-4.03, 3 Cd 3.82-4.05, 1 Cs 3.96
Cd 0.6674 0.0874 0.5777  3 Ag 2.96, 3 Cd 3.04-3.08
Cd 0.5000 0.0000 0.0000  4 Ag 2.88, 2 Cd 3.04
Cd 0.3326 0.9126 0.4223  3 Ag 2.96, 3 Cd 3.04-3.08

[2]
The following is a GGA-PBE calculation of a relaxed structure of Na3YCr2S6, from Alexandria.

## Properties
M_tot in μB per atom: 0.50
ρ in g/cm³: 3.197
Energy relative to the elements, uncorrected in eV per atom: -1.21
Symmetry: No. 12

a b c (Å): 6.4057 6.4057 6.9851
angles (deg): 98.90 98.90 120.02
With the nearest neighbours (Å) after each atom.
Fractional coordinates of all 12 atoms:
Cr 0.6672 0.3328 0.0000  6 S 2.46-2.48
Cr 0.3328 0.6672 0.0000  6 S 2.46-2.48
Y 0.0000 0.0000 0.0000  6 S 2.71
S 0.4339 0.0700 0.2080  2 Cr 2.46-2.47, 1 Y 2.71
S 0.5661 0.9300 0.7920  2 Cr 2.46-2.47, 1 Y 2.71
S 0.0700 0.4339 0.2080  2 Cr 2.46-2.47, 1 Y 2.71
S 0.7069 0.7069 0.2089  2 Cr 2.48, 1 Y 2.71, 1 Na 2.75
S 0.9300 0.5661 0.7920  2 Cr 2.46-2.47, 1 Y 2.71
S 0.2931 0.2931 0.7911  2 Cr 2.48, 1 Y 2.71, 1 Na 2.75
Na 0.5000 0.5000 0.5000  6 S 2.75-2.96
Na 0.1617 0.8383 0.5000  6 S 2.77-2.98
Na 0.8383 0.1617 0.5000  6 S 2.77-2.98

[3]
The following is a GGA-PBE calculation of a relaxed structure of LaAl2Ni, from Alexandria.

## Properties
M_tot in μB per atom: 0.00
ρ in g/cm³: 5.194
D(E_F) in states/eV/cell: 2.55
Energy relative to the elements in meV per atom: -161
Symmetry: No. 47

a b c (Å): 4.0143 4.1818 4.7912
angles (deg): 90.00 90.00 90.00
With the nearest neighbours (Å) after each atom.
Fractional coordinates of all 4 atoms:
Ni 0.0000 0.5000 0.5000  4 La 2.90, 8 Al 3.13-3.18
Al 0.0000 0.0000 0.0000  4 Al 2.90, 4 La 3.13, 4 Ni 3.18
Al 0.5000 0.5000 0.0000  4 Al 2.90, 4 Ni 3.13, 4 La 3.18
La 0.5000 0.0000 0.5000  4 Ni 2.90, 8 Al 3.13-3.18

[4]
The following is a GGA-PBE calculation of a relaxed structure of CrTeI, from Alexandria.

## Properties
M_tot in μB per atom: 0.00
ρ in g/cm³: 4.443
D(E_F) in states/eV/cell: 3.08
Energy relative to the elements, uncorrected in eV per atom: 0.07
Symmetry: No. 2

a b c (Å): 4.6618 8.2108 6.0710
angles (deg): 80.39 90.01 89.50
With the nearest neighbours (Å) after each atom.
Fractional coordinates of all 6 atoms:
Cr 0.4998 0.5182 0.6428  1 Cr 1.81
Cr 0.5002 0.4818 0.3572  1 Cr 1.81
I 0.5048 0.1932 0.7133  2 Cr 2.63-2.93
I 0.4952 0.8068 0.2867  2 Cr 2.63-2.93
Te 0.0016 0.3928 0.2106  2 Cr 2.64, 1 Te 2.85
Te 0.9984 0.6072 0.7894  2 Cr 2.64, 1 Te 2.85

[5]
The following is a GGA-PBE calculation of a relaxed structure of CdTe3, from Alexandria.

## Properties
M_tot in μB per atom: 0.00
ρ in g/cm³: 5.638
D(E_F) in states/eV/cell: 1.77
Energy relative to the elements, uncorrected in eV per atom: 0.02
Symmetry: No. 71

a b c (Å): 9.1008 9.1008 9.1008
angles (deg): 154.14 153.63 37.27
With the nearest neighbours (Å) after each atom.
Fractional coordinates of all 4 atoms:
Te 0.2758 0.2758 0.0000  4 Te 3.04
Te 0.7242 0.7242 0.0000  4 Te 3.04
Te 0.0000 0.5000 0.5000  4 Cd 2.91
Cd 0.5000 0.0000 0.5000  4 Te 2.91

[6]
The following is a GGA-PBE calculation of a relaxed structure of Na3Hg4Sb, from Alexandria.

## Properties
M_tot in μB per atom: 0.00
ρ in g/cm³: 8.007
D(E_F) in states/eV/cell: 3.12
Energy relative to the elements, uncorrected in eV per atom: -0.23
Symmetry: No. 12

a b c (Å): 4.9370 4.9203 11.5010
angles (deg): 129.84 102.39 90.00
With the nearest neighbours (Å) after each atom.
Fractional coordinates of all 8 atoms:
Na 0.2531 0.2589 0.5062  8 Hg 3.19-3.26, 4 Na 3.48-3.49
Na 0.0000 0.5000 0.0000  8 Hg 3.27-3.28, 4 Sb 3.49
Na 0.7469 0.7411 0.4938  8 Hg 3.19-3.26, 4 Na 3.48-3.49
Hg 0.8730 0.6201 0.7461  6 Na 3.20-3.27, 2 Sb 3.28, 4 Hg 3.48-3.49
Hg 0.6271 0.8823 0.2542  6 Na 3.19-3.28, 2 Sb 3.26-3.28, 4 Hg 3.48-3.49
Hg 0.3729 0.1177 0.7458  6 Na 3.19-3.28, 2 Sb 3.26-3.28, 4 Hg 3.48-3.49
Hg 0.1270 0.3799 0.2539  6 Na 3.20-3.27, 2 Sb 3.28, 4 Hg 3.48-3.49
Sb 0.5000 0.0000 0.0000  8 Hg 3.26-3.28, 4 Na 3.49

[7]
The following is a GGA-PBE calculation of a relaxed structure of RbB3I, from Alexandria.

## Properties
M_tot in μB per atom: 0.31
ρ in g/cm³: 2.370
D(E_F) in states/eV/cell: 3.65
Energy relative to the elements, uncorrected in eV per atom: 3.11
Symmetry: No. 221

a b c (Å): 5.5565 5.5565 5.5565
angles (deg): 90.00 90.00 90.00
With the nearest neighbours (Å) after each atom.
Fractional coordinates of all 5 atoms:
Rb 0.0000 0.0000 0.0000  6 B 2.78
I 0.5000 0.5000 0.5000  12 B 3.93
B 0.0000 0.5000 0.0000  2 Rb 2.78
B 0.0000 0.0000 0.5000  2 Rb 2.78
B 0.5000 0.0000 0.0000  2 Rb 2.78

[8]
The following is a GGA-PBE calculation of a relaxed structure of Ba4PrSmCu6O14, from Alexandria.

## Properties
M_tot in μB per atom: 0.00
ρ in g/cm³: 6.580
D(E_F) in states/eV/cell: 10.26
Energy relative to the elements, uncorrected in eV per atom: -1.78
Symmetry: No. 47

a b c (Å): 3.8829 3.9470 23.8081
angles (deg): 90.00 90.00 90.00
With the nearest neighbours (Å) after each atom.
Fractional coordinates of all 26 atoms:
Cu 0.0000 0.0000 0.7509  4 O 1.87-1.97
Cu 0.0000 0.0000 0.5776  4 O 1.97-2.00
Cu 0.0000 0.0000 0.0752  4 O 1.97-2.00
Cu 0.0000 0.0000 0.4224  4 O 1.97-2.00
Cu 0.0000 0.0000 0.2491  4 O 1.87-1.97
Cu 0.0000 0.0000 0.9248  4 O 1.97-2.00
O 0.0000 0.5000 0.7510  2 Cu 1.97
O 0.0000 0.0000 0.8296  1 Cu 1.88
O 0.5000 0.0000 0.5648  2 Cu 1.97
O 0.0000 0.5000 0.0626  2 Cu 2.00
O 0.0000 0.5000 0.2490  2 Cu 1.97
O 0.5000 0.0000 0.0621  2 Cu 1.97
O 0.0000 0.0000 0.6721  1 Cu 1.87
O 0.0000 0.5000 0.5653  2 Cu 2.00
O 0.5000 0.0000 0.9379  2 Cu 1.97
O 0.0000 0.5000 0.4347  2 Cu 2.00
O 0.5000 0.0000 0.4352  2 Cu 1.97
O 0.0000 0.5000 0.9374  2 Cu 2.00
O 0.0000 0.0000 0.1704  1 Cu 1.88
O 0.0000 0.0000 0.3279  1 Cu 1.87
Ba 0.5000 0.5000 0.8403  10 O 2.78-3.05
Ba 0.5000 0.5000 0.3386  10 O 2.78-3.03
Ba 0.5000 0.5000 0.1597  10 O 2.78-3.05
Ba 0.5000 0.5000 0.6614  10 O 2.78-3.03
Sm 0.5000 0.5000 0.0000  8 O 2.45-2.47
Pr 0.5000 0.5000 0.5000  8 O 2.49-2.50

[9]
The following is a GGA-PBE calculation of a relaxed structure of La4ReSb, from Alexandria.

## Properties
M_tot in μB per atom: 0.00
ρ in g/cm³: 8.376
D(E_F) in states/eV/cell: 8.65
Energy relative to the elements, uncorrected in eV per atom: 0.65
Symmetry: No. 216

a b c (Å): 6.2328 6.2328 6.2328
angles (deg): 60.00 60.00 60.00
With the nearest neighbours (Å) after each atom.
Fractional coordinates of all 6 atoms:
Re 0.7500 0.7500 0.7500  12 La 3.65, 4 Sb 3.82
Sb 0.0000 0.0000 0.0000  12 La 3.66, 4 Re 3.82
La 0.3759 0.8722 0.3759  6 La 3.09-3.14
La 0.3759 0.3759 0.3759  6 La 3.09-3.14
La 0.8722 0.3759 0.3759  6 La 3.09-3.14
La 0.3759 0.3759 0.8722  6 La 3.09-3.14

[10]
The following is a GGA-PBE calculation of a relaxed structure of LaNd2MgO, from Alexandria.

## Properties
M_tot in μB per atom: 0.00
ρ in g/cm³: 6.002
D(E_F) in states/eV/cell: 6.00
Energy relative to the elements, uncorrected in eV per atom: -1.18
Symmetry: No. 123

a b c (Å): 5.0966 5.0386 5.0386
angles (deg): 90.00 90.00 90.00
With the nearest neighbours (Å) after each atom.
Fractional coordinates of all 5 atoms:
Nd 0.0000 0.0000 0.5000  2 O 2.52
Nd 0.0000 0.5000 0.0000  2 O 2.52
O 0.0000 0.0000 0.0000  4 Nd 2.52, 2 La 2.55
La 0.5000 0.0000 0.0000  2 O 2.55
Mg 0.5000 0.5000 0.5000  4 La 3.56, 8 Nd 3.58

[11]
The following is a GGA-PBE calculation of a relaxed structure of PmCuH2O4, from Alexandria.

## Properties
M_tot in μB per atom: 0.00
ρ in g/cm³: 5.700
Symmetry: No. 23
Electronic total energy in eV/atom: -5.90

a b c (Å): 4.7261 4.7589 4.7589
angles (deg): 69.95 60.23 60.23
With the nearest neighbours (Å) after each atom.
Fractional coordinates of all 8 atoms:
H 0.8125 0.6875 0.6875  2 O 1.21
H 0.1875 0.3125 0.3125  2 O 1.21
O 0.5859 0.5804 0.8049  1 H 1.21
O 0.0287 0.8049 0.5804  1 H 1.21
O 0.9713 0.4196 0.1951  1 H 1.21
O 0.4141 0.1951 0.4196  1 H 1.21
Cu 0.5000 0.5000 0.5000  4 O 1.88
Pm 0.0000 0.0000 0.0000  8 O 2.40-2.65

[12]
The following is a GGA-PBE calculation of a relaxed structure of K2TlH6Ru, from Alexandria.

## Properties
M_tot in μB per atom: 0.00
ρ in g/cm³: 4.019
D(E_F) in states/eV/cell: 2.32
Symmetry: No. 164
Electronic total energy in eV/atom: -3.45

a b c (Å): 5.3942 5.8709 5.8709
angles (deg): 120.00 90.00 90.00
With the nearest neighbours (Å) after each atom.
Fractional coordinates of all 10 atoms:
H 0.8581 0.6946 0.8473  1 Ru 1.73
H 0.8581 0.1527 0.8473  1 Ru 1.73
H 0.8581 0.1527 0.3054  1 Ru 1.73
H 0.1419 0.8473 0.1527  1 Ru 1.73
H 0.1419 0.8473 0.6946  1 Ru 1.73
H 0.1419 0.3054 0.1527  1 Ru 1.73
Tl 0.5000 0.0000 0.0000  6 H 2.48, 2 Ru 2.70
Ru 0.0000 0.0000 0.0000  6 H 1.73
K 0.2059 0.3333 0.6667  3 H 2.63
K 0.7941 0.6667 0.3333  3 H 2.63

Question: Which of these has the lowest ρ?
Answer: RbB3I

Question: Which formula does entry 6 have?
Answer: Na3Hg4Sb

Question: Number 8 is which compound?
Answer: Ba4PrSmCu6O14